BaTc3Cl | GGA-PBE | relaxed

a b c (Å): 5.366 5.366 5.366
angles (deg): 90.00 90.00 90.00
Each line ends with the local moment (μB).
Atoms (fractional coordinates):
Cl 0.500 0.500 0.500  0.20
Ba 0.000 0.000 0.000  -0.11
Tc 0.000 0.500 0.000  2.79
Tc 0.000 0.000 0.500  2.48
Tc 0.500 0.000 0.000  3.09

Output
Formation energy from raw total energies   2.873 eV per atom
SG   Pm-3m